This record from Alexandria describes a geometry-optimized TaTl2Ru structure. The functional is PBE-GGA.

Summary:
- VASP energy: -6.20 eV per atom
- E above lowest polymorph: 67 meV/atom

Cell: 9.543 9.543 9.543 Å, 20.11 20.11 20.11°
Positions (direct):
Ta 0.765 0.765 0.765
Tl 0.241 0.241 0.241
Tl 0.006 0.006 0.006
Ru 0.488 0.488 0.488